Record 1
# Rb3ScH, optimized geometry, DFT GGA-PBE
data_Rb3ScH
_space_group_name_H-M_alt 'P m -3 m'
_space_group_IT_number 221
_space_group_name_Hall '-P 4 2 3'
_cell_length_a 6.095
_cell_length_b 6.095
_cell_length_c 6.095
_cell_angle_alpha 90.00
_cell_angle_beta 90.00
_cell_angle_gamma 90.00
loop_
_atom_site_label
_atom_site_fract_x
_atom_site_fract_y
_atom_site_fract_z
Rb1 0.000 0.000 0.500
Sc1 0.500 0.500 0.500
H1 0.000 0.000 0.000
# magnetic moment: 2.8 μB per cell

Record 2
# Tl2SbBr, optimized geometry, DFT GGA-PBE
data_Tl2SbBr
_space_group_name_H-M_alt 'P 1 2/m 1'
_space_group_IT_number 10
_space_group_name_Hall '-P 2y'
_cell_length_a 3.735
_cell_length_b 4.947
_cell_length_c 6.737
_cell_angle_alpha 90.00
_cell_angle_beta 90.08
_cell_angle_gamma 90.00
loop_
_atom_site_label
_atom_site_fract_x
_atom_site_fract_y
_atom_site_fract_z
Tl1 0.000 0.000 0.246
Sb1 0.500 0.500 0.500
Br1 0.500 0.500 0.000
# formation energy without anion corrections: -0.153 eV/atom
# magnetic moment: 0.0 μB per cell

Number 1: VASP energy -2.0234 eV/atom. Number 2: VASP energy -2.7853 eV/atom.